! PBE Y3Ho6ThSc2, relaxed; values from VASP
! - Density of states at the Fermi level: 16.84 states/eV per cell
! - E: -5.536 eV/atom
! - Energy of formation from the pure elements: 1.0 kcal/mol of atoms
&SYSTEM
  ibrav = 0, nat = 12, ntyp = 4
/
ATOMIC_SPECIES
Ho 164.93 Ho.upf
Sc 44.96 Sc.upf
Y 88.91 Y.upf
Th 232.04 Th.upf
ATOMIC_POSITIONS angstrom
Ho -5.5380 -6.6291 -0.8033
Sc -0.3928 0.7422 -3.3887
Y -5.5843 -2.4267 -3.4758
Ho -3.4324 -8.0968 -3.1729
Y -0.6018 -6.8366 -1.4328
Y -3.0930 -4.6316 -2.4543
Ho -0.2603 -3.3733 -0.7133
Ho -2.7537 -1.1665 -1.7357
Sc 2.1070 -1.4703 -2.3637
Ho -5.9258 -5.8899 -4.1952
Th 0.0000 0.0000 0.0000
Ho -0.6481 -2.6342 -4.1053
CELL_PARAMETERS angstrom
-2.8901 2.9526 -4.4127
4.6044 -3.6807 -1.3397
-7.9003 -8.5351 0.8438

=====

! PBE YHoThSc, relaxed; values from VASP
! - Density of states at the Fermi level: 7.35 states/eV per cell
! - E: -6.085 eV/atom
! - Energy of formation from the pure elements: 2.6 kcal/mol of atoms
! - ΔE to the lowest computed polymorph: 0.091 eV per atom
&SYSTEM
  ibrav = 0, nat = 4, ntyp = 4
/
ATOMIC_SPECIES
Ho 164.93 Ho.upf
Th 232.04 Th.upf
Y 88.91 Y.upf
Sc 44.96 Sc.upf
ATOMIC_POSITIONS angstrom
Ho 0.0000 0.0000 0.0000
Th -0.3402 2.1719 2.5876
Y -1.0207 6.5157 7.7628
Sc -0.6805 4.3438 5.1752
CELL_PARAMETERS angstrom
-1.0530 5.2652 1.3826
-2.8630 1.1362 4.6103
2.5551 2.2862 4.3575

=====

! PBE Y5Ho2ThSc, relaxed; values from VASP
! - Density of states at the Fermi level: 27.72 states/eV per cell
! - E: -5.966 eV/atom
! - Energy of formation from the pure elements: 3.9 kcal/mol of atoms
&SYSTEM
  ibrav = 0, nat = 18, ntyp = 4
/
ATOMIC_SPECIES
Y 88.91 Y.upf
Sc 44.96 Sc.upf
Th 232.04 Th.upf
Ho 164.93 Ho.upf
ATOMIC_POSITIONS angstrom
Y 2.8285 10.5741 4.8616
Sc 2.8285 6.7822 4.8873
Y 2.8285 4.2782 2.0583
Sc 0.0000 4.0836 0.1464
Th 0.0000 8.7083 4.0409
Y 0.0000 8.5411 0.4160
Y 0.0000 6.5876 6.7992
Y 2.8285 0.6285 2.3414
Y 2.8285 2.3247 5.1569
Ho 0.0000 2.8526 6.7529
Th 2.8285 2.1575 8.7818
Ho 2.8285 8.0132 2.0120
Ho 0.0000 2.5067 3.0516
Ho 2.8285 8.3591 7.7925
Y 0.0000 5.8408 3.1070
Y 2.8285 5.0250 7.8479
Y 0.0000 0.2917 0.1207
Y 0.0000 10.2373 7.0823
CELL_PARAMETERS angstrom
5.6569 0.0000 0.0000
-2.8285 10.8658 0.0000
0.0000 0.0000 9.4818

=====

! PBE Y6Ho3ThSc2, relaxed; values from VASP
! - Density of states at the Fermi level: 17.37 states/eV per cell
! - E: -6.005 eV/atom
! - Energy of formation from the pure elements: 1.0 kcal/mol of atoms
&SYSTEM
  ibrav = 0, nat = 12, ntyp = 4
/
ATOMIC_SPECIES
Ho 164.93 Ho.upf
Y 88.91 Y.upf
Th 232.04 Th.upf
Sc 44.96 Sc.upf
ATOMIC_POSITIONS angstrom
Ho 1.0018 1.7345 5.7679
Ho -2.0238 3.4819 5.7679
Y 2.0223 3.5016 2.8489
Y -1.0120 1.7459 2.8380
Th 0.0000 0.0000 0.0000
Sc 0.0000 3.5050 0.0115
Sc 3.0359 1.7516 0.0115
Y 3.0156 1.7232 8.6979
Ho 4.0274 -0.0129 5.7679
Y 2.0180 -0.0041 2.8380
Y -0.0188 -0.0325 8.6869
Y -0.0145 3.4731 8.6979
CELL_PARAMETERS angstrom
6.0689 0.0000 0.0115
-3.0330 5.2566 0.0115
-1.0324 -1.7876 11.5129

=====

! PBE HoThZrSc, relaxed; values from VASP
! - Density of states at the Fermi level: 6.40 states/eV per cell
! - E: -6.612 eV/atom
! - Energy of formation from the pure elements: 2.5 kcal/mol of atoms
&SYSTEM
  ibrav = 0, nat = 4, ntyp = 4
/
ATOMIC_SPECIES
Sc 44.96 Sc.upf
Th 232.04 Th.upf
Ho 164.93 Ho.upf
Zr 91.22 Zr.upf
ATOMIC_POSITIONS angstrom
Sc 0.0000 0.0000 0.0000
Th -7.4887 -1.9503 6.0955
Ho -2.4962 -0.6501 2.0318
Zr -4.9925 -1.3002 4.0637
CELL_PARAMETERS angstrom
-2.3141 1.3177 4.6541
-5.3396 -0.1351 0.4723
-2.3313 -3.7831 3.0009

=====

! PBE HoThZrSc3, relaxed; values from VASP
! - Density of states at the Fermi level: 15.65 states/eV per cell
! - E: -6.573 eV/atom
! - Energy of formation from the pure elements: 0.4 kcal/mol of atoms
&SYSTEM
  ibrav = 0, nat = 12, ntyp = 4
/
ATOMIC_SPECIES
Sc 44.96 Sc.upf
Ho 164.93 Ho.upf
Th 232.04 Th.upf
Zr 91.22 Zr.upf
ATOMIC_POSITIONS angstrom
Sc 0.8474 -2.0522 9.7079
Sc 2.5422 7.9611 0.3198
Ho 2.5422 5.3833 6.4297
Th 2.5422 0.7057 9.1029
Ho 0.8474 0.5256 3.5980
Sc 2.5422 2.0270 6.1372
Th 0.8474 5.2032 0.9248
Sc 0.8474 3.5187 8.6517
Zr 2.5422 6.6061 3.4482
Sc 0.8474 3.8819 3.8905
Sc 2.5422 2.3902 1.3760
Zr 0.8474 -0.6972 6.5795
CELL_PARAMETERS angstrom
3.3896 0.0000 0.0000
0.0000 8.8533 -0.7501
0.0000 -2.9444 10.7778

=====

! PBE HoScTi, relaxed; values from VASP
! - Density of states at the Fermi level: 12.09 states/eV per cell
! - E: -6.085 eV/atom
! - Energy of formation from the pure elements: 4.2 kcal/mol of atoms
! - ΔE to the lowest computed polymorph: 0.015 eV per atom
&SYSTEM
  ibrav = 0, nat = 6, ntyp = 3
/
ATOMIC_SPECIES
Ti 47.87 Ti.upf
Sc 44.96 Sc.upf
Ho 164.93 Ho.upf
ATOMIC_POSITIONS angstrom
Ti -5.1937 -4.9833 -0.0651
Ti -5.4864 -3.0084 -1.8082
Sc -3.0179 -2.8956 -0.0378
Ho -2.3415 0.0092 -1.7688
Sc -7.6623 -5.0961 -1.8355
Ho -8.3387 -8.0008 -0.1046
CELL_PARAMETERS angstrom
-2.3401 2.4405 -0.1257
0.1091 -0.0696 -3.3810
-8.4492 -10.3627 1.6334

=====

! PBE HoScTi, relaxed; values from VASP
! - Density of states at the Fermi level: 4.08 states/eV per cell
! - E: -6.100 eV/atom
! - Energy of formation from the pure elements: 3.9 kcal/mol of atoms
! - ΔE to the lowest computed polymorph: 0.000 eV per atom
&SYSTEM
  ibrav = 0, nat = 3, ntyp = 3
/
ATOMIC_SPECIES
Ti 47.87 Ti.upf
Sc 44.96 Sc.upf
Ho 164.93 Ho.upf
ATOMIC_POSITIONS angstrom
Ti 0.5313 0.0000 2.9359
Sc 0.5347 0.0000 0.0000
Ho 2.1322 2.5426 1.4680
CELL_PARAMETERS angstrom
3.1982 0.0000 0.0000
0.0000 5.0851 0.0000
0.0000 -2.5426 4.4039